Cs3As2I8 | GGA-PBE | optimized geometry

Computed properties:
E_form (uncorrected), eV/atom: -0.713
Size of the total moment, μB per formula unit: 1.0
Calculated volume, Å³/f.u.: 665.2
Distance to the lowest polymorph of the same formula, meV per atom: 0
Crystal system: triclinic

```
Cs3As2I8
1.0
-5.409 7.204 1.133
-7.564 -1.955 -1.061
-5.624 0.720 9.911
I Cs As
8 3 2
Cartesian
-9.159 3.666 0.607 I
-8.671 0.114 2.598 I
-11.356 4.777 3.655 I
-7.241 1.192 6.329 I
-11.469 1.213 5.993 I
-9.439 2.303 9.377 I
-7.128 4.756 3.990 I
-9.926 5.855 7.386 I
-4.850 1.308 3.186 Cs
0.000 0.000 0.000 Cs
-13.747 4.660 6.798 Cs
-9.392 2.825 6.480 As
-9.206 3.144 3.504 As
```